## Sb2TeAsW (GGA-PBE)

Data for an optimized crystal structure of Sb2TeAsW.

Results
ΔE_f (raw) = 1.531 eV/atom
space group = P4/mmm (123)
DFT total energy = -4.27 eV per atom
volume = 144.1 Å³ per cell

Cell lengths 5.1908, 5.1908, 5.3482 Å; angles 90.00, 90.00, 90.00 degrees
Atoms (fractional coordinates):
Sb  0.0000  0.5000  0.0000
Sb  0.5000  0.0000  0.0000
Te  0.0000  0.0000  0.5000
As  0.0000  0.0000  0.0000
W  0.5000  0.5000  0.5000